1.
Density functional theory data (PBE) for a relaxed NbSbF10 crystal. Values from VASP.

Summary:
Size of the total moment   0.00 μB/f.u.
Crystal system   triclinic
Electronic total energy   -63.27 eV per formula unit

```
&SYSTEM
  ibrav = 0, nat = 24, ntyp = 3
/
ATOMIC_SPECIES
F 19.00 F.upf
Nb 92.91 Nb.upf
Sb 121.76 Sb.upf
CELL_PARAMETERS angstrom
-4.538 -2.795 0.067
-0.898 -0.979 -6.597
2.345 -8.280 0.409
ATOMIC_POSITIONS crystal
F 0.033 0.229 0.174
F 0.463 0.670 0.574
F 0.783 0.599 0.296
F 0.217 0.401 0.704
F 0.263 0.009 0.644
F 0.519 0.151 0.123
F 0.967 0.771 0.826
F 0.481 0.849 0.877
F 0.737 0.991 0.356
F 0.966 0.703 0.533
F 0.537 0.330 0.426
F 0.280 0.477 0.961
F 0.934 0.164 0.908
F 0.034 0.297 0.467
F 0.720 0.523 0.039
F 0.295 0.535 0.251
F 0.713 0.082 0.670
F 0.066 0.836 0.092
F 0.705 0.465 0.749
F 0.287 0.918 0.330
Nb 0.678 0.328 0.204
Nb 0.322 0.672 0.796
Sb 0.026 0.774 0.313
Sb 0.974 0.226 0.687
```

***

2.
Density functional theory data (PBE) for a relaxed NbSeF9 crystal. Values from VASP.

Summary:
Size of the total moment   0.00 μB/f.u.
Crystal system   trigonal
Electronic total energy   -56.30 eV per formula unit

```
&SYSTEM
  ibrav = 0, nat = 44, ntyp = 3
/
ATOMIC_SPECIES
F 19.00 F.upf
Se 78.96 Se.upf
Nb 92.91 Nb.upf
CELL_PARAMETERS angstrom
-5.153 -2.457 -5.932
-1.967 -6.331 4.881
-5.651 4.911 3.424
ATOMIC_POSITIONS crystal
F 0.033 0.001 0.610
F 0.561 0.816 0.671
F 0.960 0.447 0.738
F 0.177 0.884 0.063
F 0.277 0.616 0.220
F 0.785 0.155 0.721
F 0.671 0.561 0.816
F 0.546 0.462 0.104
F 0.343 0.198 0.101
F 0.797 0.328 0.010
F 0.814 0.495 0.273
F 0.010 0.797 0.328
F 0.155 0.721 0.785
F 0.644 0.375 0.541
F 0.220 0.277 0.616
F 0.256 0.445 0.921
F 0.375 0.541 0.644
F 0.541 0.644 0.375
F 0.495 0.273 0.814
F 0.616 0.220 0.277
F 0.063 0.177 0.884
F 0.816 0.671 0.561
F 0.273 0.814 0.495
F 0.462 0.104 0.546
F 0.447 0.738 0.960
F 0.198 0.101 0.343
F 0.445 0.921 0.256
F 0.001 0.610 0.033
F 0.328 0.010 0.797
F 0.921 0.256 0.445
F 0.610 0.033 0.001
F 0.884 0.063 0.177
F 0.721 0.785 0.155
F 0.101 0.343 0.198
F 0.738 0.960 0.447
F 0.104 0.546 0.462
Se 0.524 0.073 0.748
Se 0.748 0.524 0.073
Se 0.143 0.143 0.143
Se 0.073 0.748 0.524
Nb 0.236 0.660 0.003
Nb 0.660 0.003 0.236
Nb 0.003 0.236 0.660
Nb 0.590 0.590 0.590
```

***

3.
Density functional theory data (PBE) for a relaxed Nb4TlSe5F crystal. Values from VASP.

Summary:
Size of the total moment   0.05 μB/f.u.
Crystal system   tetragonal
Electronic total energy   -69.81 eV per formula unit

```
&SYSTEM
  ibrav = 0, nat = 11, ntyp = 4
/
ATOMIC_SPECIES
Se 78.96 Se.upf
Nb 92.91 Nb.upf
Tl 204.38 Tl.upf
F 19.00 F.upf
CELL_PARAMETERS angstrom
-2.703 -2.359 3.593
-3.077 -1.901 -3.563
5.149 -6.991 -0.717
ATOMIC_POSITIONS crystal
Se 0.000 0.500 0.294
Se 0.500 0.000 0.294
Se 0.500 0.500 0.000
Se 0.000 0.500 0.706
Se 0.500 0.000 0.706
Nb 0.000 0.500 0.000
Nb 0.000 0.000 0.782
Nb 0.500 0.000 0.000
Nb 0.000 0.000 0.218
Tl 0.500 0.500 0.500
F 0.000 0.000 0.500
```

***

4.
Density functional theory data (PBE) for a relaxed NbTl2SnF6 crystal. Values from VASP.

Summary:
Size of the total moment   2.62 μB/f.u.
Crystal system   cubic
Electronic total energy   -49.10 eV per formula unit

```
&SYSTEM
  ibrav = 0, nat = 10, ntyp = 4
/
ATOMIC_SPECIES
Nb 92.91 Nb.upf
F 19.00 F.upf
Tl 204.38 Tl.upf
Sn 118.71 Sn.upf
CELL_PARAMETERS angstrom
0.000 4.422 4.422
4.422 0.000 4.422
4.422 4.422 0.000
ATOMIC_POSITIONS crystal
Nb 0.000 0.000 0.000
F 0.762 0.762 0.238
F 0.762 0.238 0.762
F 0.238 0.762 0.238
F 0.238 0.238 0.762
F 0.762 0.238 0.238
F 0.238 0.762 0.762
Tl 0.250 0.250 0.250
Tl 0.750 0.750 0.750
Sn 0.500 0.500 0.500
```

***

5.
Density functional theory data (PBE) for a relaxed TbNb4F3 crystal. Values from VASP.

Summary:
Size of the total moment   0.95 μB/f.u.
Crystal system   cubic
Electronic total energy   -46.97 eV per formula unit

```
&SYSTEM
  ibrav = 0, nat = 8, ntyp = 3
/
ATOMIC_SPECIES
Nb 92.91 Nb.upf
F 19.00 F.upf
Tb 158.93 Tb.upf
CELL_PARAMETERS angstrom
-4.305 1.308 -2.460
-2.786 -1.990 3.818
0.019 4.542 2.381
ATOMIC_POSITIONS crystal
Nb 0.500 0.500 0.500
Nb 0.500 0.000 0.000
Nb 0.000 0.500 0.000
Nb 0.000 0.000 0.500
F 0.000 0.500 0.500
F 0.500 0.500 0.000
F 0.500 0.000 0.500
Tb 0.000 0.000 0.000
```

***

6.
Density functional theory data (PBE) for a relaxed NbTe3F2 crystal. Values from VASP.

Summary:
Size of the total moment   0.28 μB/f.u.
Crystal system   trigonal
Electronic total energy   -27.89 eV per formula unit

```
&SYSTEM
  ibrav = 0, nat = 6, ntyp = 3
/
ATOMIC_SPECIES
Te 127.60 Te.upf
Nb 92.91 Nb.upf
F 19.00 F.upf
CELL_PARAMETERS angstrom
3.895 0.000 0.000
-1.948 3.373 0.000
0.000 0.000 9.573
ATOMIC_POSITIONS crystal
Te 0.333 0.667 0.320
Te 0.667 0.333 0.680
Te 0.000 0.000 0.000
Nb 0.000 0.000 0.500
F 0.667 0.333 0.044
F 0.333 0.667 0.956
```

***

7.
Density functional theory data (PBE) for a relaxed Nb4TeF2 crystal. Values from VASP.

Summary:
Size of the total moment   0.03 μB/f.u.
Crystal system   tetragonal
Electronic total energy   -47.18 eV per formula unit

```
&SYSTEM
  ibrav = 0, nat = 7, ntyp = 3
/
ATOMIC_SPECIES
Te 127.60 Te.upf
Nb 92.91 Nb.upf
F 19.00 F.upf
CELL_PARAMETERS angstrom
4.230 0.000 0.000
0.000 4.230 0.000
0.000 0.000 6.594
ATOMIC_POSITIONS crystal
Te 0.000 0.000 0.000
Nb 0.500 0.000 0.708
Nb 0.500 0.000 0.292
Nb 0.000 0.500 0.708
Nb 0.000 0.500 0.292
F 0.500 0.500 0.000
F 0.000 0.000 0.500
```

***

8.
Density functional theory data (PBE) for a relaxed NbTlF6 crystal. Values from VASP.

Summary:
Polymorph energy (0 for the lowest one)   0.00 eV per formula unit
Size of the total moment   0.00 μB/f.u.
Crystal system   cubic
Electronic total energy   -45.93 eV per formula unit

```
&SYSTEM
  ibrav = 0, nat = 8, ntyp = 3
/
ATOMIC_SPECIES
F 19.00 F.upf
Nb 92.91 Nb.upf
Tl 204.38 Tl.upf
CELL_PARAMETERS angstrom
4.674 -3.170 2.990
-0.316 -0.954 6.311
-1.078 -5.866 2.295
ATOMIC_POSITIONS crystal
F 0.787 0.787 0.213
F 0.213 0.213 0.787
F 0.787 0.213 0.787
F 0.213 0.787 0.787
F 0.787 0.213 0.213
F 0.213 0.787 0.213
Nb 0.000 0.000 0.000
Tl 0.500 0.500 0.500
```

***

9.
Density functional theory data (PBE) for a relaxed NbTlF6 crystal. Values from VASP.

Summary:
Polymorph energy (0 for the lowest one)   0.48 eV per formula unit
Size of the total moment   0.00 μB/f.u.
Crystal system   monoclinic
Electronic total energy   -45.45 eV per formula unit

```
&SYSTEM
  ibrav = 0, nat = 16, ntyp = 3
/
ATOMIC_SPECIES
F 19.00 F.upf
Tl 204.38 Tl.upf
Nb 92.91 Nb.upf
CELL_PARAMETERS angstrom
-0.055 4.325 3.293
-0.358 -0.004 5.425
9.661 -1.179 -1.021
ATOMIC_POSITIONS crystal
F 0.219 0.075 0.540
F 0.528 0.317 0.105
F 0.212 0.359 0.333
F 0.641 0.788 0.167
F 0.683 0.472 0.395
F 0.472 0.683 0.895
F 0.925 0.781 0.960
F 0.317 0.528 0.605
F 0.781 0.925 0.460
F 0.359 0.212 0.833
F 0.075 0.219 0.040
F 0.788 0.641 0.667
Tl 0.139 0.861 0.250
Tl 0.861 0.139 0.750
Nb 0.000 0.500 0.500
Nb 0.500 0.000 0.000
```

***

10.
Density functional theory data (PBE) for a relaxed NbTlF6 crystal. Values from VASP.

Summary:
Polymorph energy (0 for the lowest one)   0.32 eV per formula unit
Size of the total moment   0.00 μB/f.u.
Crystal system   trigonal
Electronic total energy   -45.61 eV per formula unit

```
&SYSTEM
  ibrav = 0, nat = 8, ntyp = 3
/
ATOMIC_SPECIES
F 19.00 F.upf
Tl 204.38 Tl.upf
Nb 92.91 Nb.upf
CELL_PARAMETERS angstrom
3.652 2.108 2.439
-3.652 2.108 2.439
0.000 -4.217 2.439
ATOMIC_POSITIONS crystal
F 0.578 0.162 0.291
F 0.162 0.291 0.578
F 0.422 0.838 0.709
F 0.709 0.422 0.838
F 0.291 0.578 0.162
F 0.838 0.709 0.422
Tl 0.000 0.000 0.000
Nb 0.500 0.500 0.500
```

***

11.
Density functional theory data (PBE) for a relaxed NbTl2ZnF6 crystal. Values from VASP.

Summary:
Size of the total moment   2.99 μB/f.u.
Crystal system   cubic
Electronic total energy   -46.73 eV per formula unit

```
&SYSTEM
  ibrav = 0, nat = 10, ntyp = 4
/
ATOMIC_SPECIES
F 19.00 F.upf
Tl 204.38 Tl.upf
Zn 65.41 Zn.upf
Nb 92.91 Nb.upf
CELL_PARAMETERS angstrom
0.000 4.169 4.169
4.169 0.000 4.169
4.169 4.169 0.000
ATOMIC_POSITIONS crystal
F 0.740 0.740 0.260
F 0.740 0.260 0.260
F 0.260 0.740 0.740
F 0.740 0.260 0.740
F 0.260 0.260 0.740
F 0.260 0.740 0.260
Tl 0.750 0.750 0.750
Tl 0.250 0.250 0.250
Zn 0.500 0.500 0.500
Nb 0.000 0.000 0.000
```

***

12.
Density functional theory data (PBE) for a relaxed NbXeF11 crystal. Values from VASP.

Summary:
Size of the total moment   0.00 μB/f.u.
Crystal system   orthorhombic
Electronic total energy   -50.39 eV per formula unit

```
&SYSTEM
  ibrav = 0, nat = 52, ntyp = 3
/
ATOMIC_SPECIES
F 19.00 F.upf
Nb 92.91 Nb.upf
Xe 131.29 Xe.upf
CELL_PARAMETERS angstrom
-14.645 6.294 -0.280
-3.056 -7.073 0.844
0.140 0.553 5.142
ATOMIC_POSITIONS crystal
F 0.345 0.427 0.077
F 0.088 0.250 0.859
F 0.457 0.505 0.724
F 0.957 0.505 0.776
F 0.729 0.250 0.614
F 0.155 0.573 0.577
F 0.341 0.750 0.863
F 0.303 0.071 0.563
F 0.043 0.005 0.224
F 0.514 0.750 0.019
F 0.159 0.250 0.363
F 0.303 0.429 0.563
F 0.229 0.250 0.886
F 0.197 0.929 0.063
F 0.841 0.750 0.637
F 0.697 0.929 0.437
F 0.565 0.750 0.564
F 0.271 0.750 0.386
F 0.588 0.250 0.641
F 0.014 0.750 0.481
F 0.771 0.750 0.114
F 0.697 0.571 0.437
F 0.986 0.250 0.519
F 0.486 0.250 0.981
F 0.803 0.071 0.937
F 0.412 0.750 0.359
F 0.457 0.995 0.724
F 0.655 0.927 0.923
F 0.912 0.750 0.141
F 0.543 0.005 0.276
F 0.845 0.073 0.423
F 0.659 0.250 0.137
F 0.435 0.250 0.436
F 0.065 0.750 0.936
F 0.043 0.495 0.224
F 0.957 0.995 0.776
F 0.197 0.571 0.063
F 0.845 0.427 0.423
F 0.803 0.429 0.937
F 0.543 0.495 0.276
F 0.345 0.073 0.077
F 0.155 0.927 0.577
F 0.655 0.573 0.923
F 0.935 0.250 0.064
Nb 0.947 0.750 0.797
Nb 0.447 0.750 0.703
Nb 0.053 0.250 0.203
Nb 0.553 0.250 0.297
Xe 0.847 0.250 0.700
Xe 0.153 0.750 0.300
Xe 0.347 0.250 0.800
Xe 0.653 0.750 0.200
```

***

Q: Which of these has the highest size of the total moment?
A: NbTl2ZnF6

***

Q: Look up the size of the total moment of the fifth one.
A: 0.95 μB/f.u.